The following is a PBE with a Hubbard U calculation of an optimized crystal structure of K2NiF6, from Alexandria.

N(E_F) (states/eV per cell): 0.00
Crystal system: cubic
E (eV/f.u.): -35.51

```
K2NiF6
1.0
-0.482 -3.245 -4.795
4.771 -1.977 -2.661
1.293 -5.661 0.182
K F Ni
2 6 1
direct
0.250 0.250 0.250
0.750 0.750 0.750
0.781 0.219 0.219
0.781 0.781 0.219
0.219 0.219 0.781
0.219 0.781 0.219
0.219 0.781 0.781
0.781 0.219 0.781
0.000 0.000 0.000
```